Below is crystalline Na2TbBr5 at its relaxed geometry, with properties calculated at the PBE level.

Cell and atoms, written as POSCAR:
```
Na2TbBr5
1.0
12.8495 0.0000 0.0000
0.0000 8.7577 0.0000
0.0000 0.0000 8.3068
Na Tb Br
8 4 20
Cartesian
2.2698 0.0745 0.1853 Na
2.2698 4.3044 0.1853 Na
4.1550 4.4533 4.3387 Na
4.1550 8.6832 4.3387 Na
8.6945 0.0745 3.9681 Na
8.6945 4.3044 3.9681 Na
10.5797 4.4533 8.1215 Na
10.5797 8.6832 8.1215 Na
0.1048 6.5683 4.8427 Tb
6.3199 2.1894 0.6893 Tb
6.5296 6.5683 7.6175 Tb
12.7447 2.1894 3.4641 Tb
0.1949 6.5683 7.7929 Br
1.1043 0.4075 5.4951 Br
1.1043 3.9713 5.4951 Br
2.3401 6.5683 3.0377 Br
2.6362 2.1894 2.6173 Br
3.7886 6.5683 6.7707 Br
4.0847 2.1894 7.1911 Br
5.3205 4.7864 1.3417 Br
5.3205 8.3501 1.3417 Br
6.2298 2.1894 3.6395 Br
6.6197 6.5683 4.6672 Br
7.5290 0.4075 6.9651 Br
7.5290 3.9713 6.9651 Br
8.7649 6.5683 1.1157 Br
9.0609 2.1894 1.5361 Br
10.2133 6.5683 5.6895 Br
10.5094 2.1894 5.2691 Br
11.7452 4.7864 2.8117 Br
11.7452 8.3501 2.8117 Br
12.6546 2.1894 0.5139 Br
```

Properties
space-group type: Pnma, No. 62
offset from the most stable computed form: 5 meV per atom
raw formation energy: -1685 meV/atom

Below is crystalline Sc2Al2Hg at its relaxed geometry, with properties calculated at the PBE level.

Cell and atoms, written as POSCAR:
```
Sc2Al2Hg
1.0
8.1854 0.0000 0.0000
0.0000 8.1854 0.0000
0.0000 0.0000 3.3101
Sc Al Hg
4 4 2
Cartesian
1.4867 2.6060 0.0000 Sc
2.6060 6.6987 0.0000 Sc
5.5794 1.4867 0.0000 Sc
6.6987 5.5794 0.0000 Sc
0.9221 5.0148 1.6550 Al
3.1706 0.9221 1.6550 Al
5.0148 7.2633 1.6550 Al
7.2633 3.1706 1.6550 Al
0.0000 0.0000 0.0000 Hg
4.0927 4.0927 0.0000 Hg
```

Properties
space-group type: P4/mbm, No. 127
E_form: -0.155 eV/atom
offset from the most stable computed form: 245 meV per atom

Below is crystalline CeTmPd at its relaxed geometry, with properties calculated at the PBE level.

Cell and atoms, written as POSCAR:
```
CeTmPd
1.0
0.0000 3.4661 3.4661
3.4661 0.0000 3.4661
3.4661 3.4661 0.0000
Ce Tm Pd
1 1 1
Cartesian
0.0000 0.0000 0.0000 Ce
3.4661 3.4661 3.4661 Tm
5.1992 5.1992 5.1992 Pd
```

Properties
space-group type: F-43m, No. 216
E_form: -0.329 eV/atom
offset from the most stable computed form: 134 meV per atom

Below is crystalline Al2CdFe at its relaxed geometry, with properties calculated at the PBE level.

Cell and atoms, written as POSCAR:
```
Al2CdFe
1.0
2.9928 0.0000 0.0000
0.0000 3.5947 0.0000
0.0000 0.0000 5.8619
Al Cd Fe
2 1 1
Cartesian
0.0000 0.0000 0.0000 Al
1.4964 1.7974 1.5273 Al
0.0000 0.0000 3.1594 Cd
1.4964 1.7974 4.9010 Fe
```

Properties
space-group type: Pmm2, No. 25
E_form: 0.072 eV/atom

Below is crystalline TiMnN3 at its relaxed geometry, with properties calculated at the PBE level.

Cell and atoms, written as POSCAR:
```
TiMnN3
1.0
3.8405 0.0000 0.0000
0.0000 3.8405 0.0000
0.0000 0.0000 3.8405
Ti Mn N
1 1 3
Cartesian
0.0000 0.0000 0.0000 Ti
1.9202 1.9202 1.9202 Mn
0.0000 0.0000 1.9202 N
0.0000 1.9202 0.0000 N
1.9202 0.0000 0.0000 N
```

Properties
space-group type: Pm-3m, No. 221
raw formation energy: 1052 meV/atom

Below is crystalline CeSmBiAu at its relaxed geometry, with properties calculated at the PBE level.

Cell and atoms, written as POSCAR:
```
CeSmBiAu
1.0
0.0000 3.8279 3.8279
3.8279 0.0000 3.8279
3.8279 3.8279 0.0000
Ce Sm Bi Au
1 1 1 1
Cartesian
0.0000 0.0000 0.0000 Ce
3.8279 3.8279 3.8279 Sm
5.7419 5.7419 5.7419 Bi
1.9140 1.9140 1.9140 Au
```

Properties
space-group type: F-43m, No. 216
E_form: -0.626 eV/atom

| no. | magnetization (μB/f.u.) | total energy (eV per atom) |
| --- | --- | --- |
| 1 | 0.00 | -3.639 |
| 2 | 0.00 | -4.245 |
| 3 | 1.00 | -5.529 |
| 4 | 1.44 | -4.144 |
| 5 | 0.13 | -7.356 |
| 6 | 2.39 | -5.079 |